[1]
Entry from Alexandria via LeMat-Bulk: crystalline LaHg2As at its relaxed geometry (PBE).

POSCAR file:
```
LaHg2As
1.0
4.084 0.000 0.000
0.000 4.084 0.000
0.000 0.000 6.687
La Hg As
1 2 1
Cartesian
0.000 0.000 0.000
0.000 0.000 3.265
2.042 2.042 4.405
2.042 2.042 0.939
```

Calculated values
Size of the total moment (μB per formula unit): 0.0
DFT formation energy (eV/atom): -0.5112

***

[2]
Entry from Alexandria via LeMat-Bulk: crystalline BeZnOs2 at its relaxed geometry (PBE).

POSCAR file:
```
BeZnOs2
1.0
2.722 0.000 0.000
0.000 3.929 0.000
-1.359 0.000 4.829
Be Zn Os
1 1 2
Cartesian
0.000 0.000 0.000
1.351 1.965 3.652
-0.012 0.000 2.324
1.352 1.965 1.102
```

Calculated values
Size of the total moment (μB per formula unit): 0.0
DFT formation energy (eV/atom): 0.1663

***

[3]
Entry from Alexandria via LeMat-Bulk: crystalline CsWCS2 at its relaxed geometry (PBE).

POSCAR file:
```
CsWCS2
1.0
4.360 0.000 0.000
0.000 4.360 0.000
0.000 0.000 4.582
Cs W C S
1 1 1 2
Cartesian
0.000 0.000 0.000
2.180 2.180 0.000
0.000 0.000 2.291
0.000 2.180 2.291
2.180 0.000 2.291
```

Calculated values
Formation energy from raw total energies (eV per atom): 2.288
Size of the total moment (μB per formula unit): 0.0